1.
A plane-wave DFT calculation with GGA-PBE was carried out for a relaxed Sc4Bi2S crystal.

Cell: 4.7578 4.7578 15.3732 Å, 90.00 90.00 90.00°
Closest atoms and distances in Å follow each position.
Space group I4/mmm (No. 139)
Symmetry-distinct sites (fractional):
Sc1 0.0000 0.0000 0.1626 x4  1 S 2.50
Sc2 0.0000 0.5000 0.0000 x4  2 S 2.38
Bi1 0.0000 0.0000 0.3577 x4  5 Sc 3.00-3.23
S1 0.0000 0.0000 0.0000 x2  6 Sc 2.38-2.50

Properties
Total magnetization: 0.00 μB per formula unit
Energy relative to the elements, uncorrected: -0.81 eV per atom
Final energy: -6.126 eV/atom
Crystal system: tetragonal



2.
A plane-wave DFT calculation with GGA-PBE was carried out for a relaxed NdZnCuSi2 crystal.

Cell: 4.1145 4.1145 10.2383 Å, 90.00 90.00 90.00°
Closest atoms and distances in Å follow each position.
Space group I-4m2 (No. 119)
Symmetry-distinct sites (fractional):
Nd1 0.0000 0.0000 0.0000 x2  8 Si 3.14, 4 Cu 3.28, 4 Zn 3.28
Zn1 0.0000 0.5000 0.7500 x2  4 Si 2.47
Cu1 0.0000 0.5000 0.2500 x2  4 Si 2.47
Si1 0.0000 0.0000 0.3839 x4  1 Si 2.38, 2 Cu 2.47, 2 Zn 2.47

Properties
Total magnetization: 0.00 μB per formula unit
Energy relative to the elements, uncorrected: -0.49 eV per atom
Final energy: -4.688 eV/atom
Crystal system: tetragonal



3.
A plane-wave DFT calculation with GGA-PBE was carried out for a relaxed AsRhPb2 crystal.

Cell: 15.5654 3.5738 3.6563 Å, 90.00 103.51 90.00°
Closest atoms and distances in Å follow each position.
Space group C2/m (No. 12)
Symmetry-distinct sites (fractional):
As1 0.0000 0.0000 0.0000 x2  4 Rh 2.56
Rh1 0.0000 0.5000 0.5000 x2  4 As 2.56
Pb1 0.1606 0.0000 0.6600 x4  2 Rh 3.02, 2 As 3.04

Properties
Total magnetization: 0.00 μB per formula unit
Final energy: -4.884 eV/atom
Crystal system: monoclinic